No. 1
# Er2TlHg5 (PBE-GGA, optimized geometry)
data_Er2TlHg5
_cell_length_a 6.689
_cell_length_b 13.444
_cell_length_c 4.357
_cell_angle_alpha 90.00
_cell_angle_beta 90.00
_cell_angle_gamma 90.00
_symmetry_space_group_name_H-M 'P b a m'
_symmetry_Int_Tables_number 55
_symmetry_space_group_name_Hall '-P 2 2ab'
loop_
_atom_site_label
_atom_site_fract_x
_atom_site_fract_y
_atom_site_fract_z
Er1 0.243 0.127 0.000
Tl1 0.000 0.500 0.500
Hg1 0.000 0.000 0.500
Hg2 0.005 0.750 0.500
Hg3 0.247 0.872 0.000
# ΔH_f (0 K) in meV/atom: -269
# Energy in eV per atom: -1.894
# D(E_F) in states/eV per cell: 13.77
# Crystal system: orthorhombic

---

No. 2
# NaGd2Ir (PBE-GGA, optimized geometry)
data_NaGd2Ir
_cell_length_a 7.181
_cell_length_b 7.181
_cell_length_c 7.181
_cell_angle_alpha 90.00
_cell_angle_beta 90.00
_cell_angle_gamma 90.00
_symmetry_space_group_name_H-M 'F m -3 m'
_symmetry_Int_Tables_number 225
_symmetry_space_group_name_Hall '-F 4 2 3'
loop_
_atom_site_label
_atom_site_fract_x
_atom_site_fract_y
_atom_site_fract_z
Na1 0.000 0.000 0.000
Gd1 0.250 0.250 0.250
Ir1 0.000 0.000 0.500
# ΔH_f (0 K) in meV/atom: -266
# Energy in eV per atom: -9.852
# D(E_F) in states/eV per cell: 13.05
# Crystal system: cubic

---

No. 3
# NaYSeN2 (PBE-GGA, optimized geometry)
data_NaYSeN2
_cell_length_a 4.628
_cell_length_b 4.628
_cell_length_c 5.644
_cell_angle_alpha 90.00
_cell_angle_beta 90.00
_cell_angle_gamma 90.00
_symmetry_space_group_name_H-M 'P 4/m m m'
_symmetry_Int_Tables_number 123
_symmetry_space_group_name_Hall '-P 4 2'
loop_
_atom_site_label
_atom_site_fract_x
_atom_site_fract_y
_atom_site_fract_z
Na1 0.000 0.000 0.000
Y1 0.500 0.500 0.500
Se1 0.500 0.500 0.000
N1 0.000 0.500 0.500
# Energy relative to the elements, uncorrected in meV/atom: 273
# Energy in eV per atom: -5.310
# D(E_F) in states/eV per cell: 1.79
# Crystal system: tetragonal

---

No. 4
# PaGe3Ru5 (PBE-GGA, optimized geometry)
data_PaGe3Ru5
_cell_length_a 3.027
_cell_length_b 13.520
_cell_length_c 14.339
_cell_angle_alpha 90.00
_cell_angle_beta 90.00
_cell_angle_gamma 90.00
_symmetry_space_group_name_H-M 'C m c m'
_symmetry_Int_Tables_number 63
_symmetry_space_group_name_Hall '-C 2c 2'
loop_
_atom_site_label
_atom_site_fract_x
_atom_site_fract_y
_atom_site_fract_z
Pa1 0.000 0.129 0.250
Ge1 0.000 0.147 0.750
Ge2 0.000 0.365 0.551
Ru1 0.000 0.000 0.000
Ru2 0.000 0.192 0.583
Ru3 0.000 0.474 0.153
# ΔH_f (0 K) in meV/atom: -167
# Energy in eV per atom: -7.915
# D(E_F) in states/eV per cell: 32.03
# Crystal system: orthorhombic

---

No. 5
# TbLuCuRh (PBE-GGA, optimized geometry)
data_TbLuCuRh
_cell_length_a 6.850
_cell_length_b 6.850
_cell_length_c 6.850
_cell_angle_alpha 90.00
_cell_angle_beta 90.00
_cell_angle_gamma 90.00
_symmetry_space_group_name_H-M 'F -4 3 m'
_symmetry_Int_Tables_number 216
_symmetry_space_group_name_Hall 'F -4 2 3'
loop_
_atom_site_label
_atom_site_fract_x
_atom_site_fract_y
_atom_site_fract_z
Tb1 0.000 0.000 0.000
Lu1 0.000 0.000 0.500
Cu1 0.250 0.250 0.750
Rh1 0.250 0.250 0.250
# ΔH_f (0 K) in meV/atom: -593
# Energy in eV per atom: -5.743
# D(E_F) in states/eV per cell: 14.73
# Crystal system: cubic

---

No. 6
# SrIrN2 (PBE-GGA, optimized geometry)
data_SrIrN2
_cell_length_a 5.866
_cell_length_b 5.866
_cell_length_c 5.866
_cell_angle_alpha 90.00
_cell_angle_beta 90.00
_cell_angle_gamma 90.00
_symmetry_space_group_name_H-M 'F m -3 m'
_symmetry_Int_Tables_number 225
_symmetry_space_group_name_Hall '-F 4 2 3'
loop_
_atom_site_label
_atom_site_fract_x
_atom_site_fract_y
_atom_site_fract_z
Sr1 0.000 0.000 0.000
Ir1 0.000 0.000 0.500
N1 0.250 0.250 0.250
# Energy relative to the elements, uncorrected in meV/atom: 899
# Energy in eV per atom: -5.899
# D(E_F) in states/eV per cell: 7.19
# Crystal system: cubic